[1]
Entry from the Alexandria database: crystalline LiGeRhO4 at its relaxed geometry (GGA-PBEsol).

Calculated values
ΔE_f (raw) in eV per atom: -1.555
Space-group type: Imma
E_tot in eV/cell: -93.85
Crystal system: orthorhombic

Cell lengths 5.9027, 5.9027, 5.9027 Å; angles 121.48, 118.55, 89.99 degrees
Fractional positions:
Li: 0.3745 0.1245 0.2500
Li: 0.6255 0.8755 0.7500
Ge: 0.0000 0.0000 0.5000
Ge: 0.0000 0.5000 0.0000
Rh: 0.0000 0.5000 0.5000
Rh: 0.5000 0.5000 0.0000
O: 0.2101 0.7429 0.4672
O: 0.2242 0.2571 0.9672
O: 0.2262 0.2442 0.5180
O: 0.2262 0.7082 0.9820
O: 0.7738 0.2918 0.0180
O: 0.7738 0.7558 0.4820
O: 0.7758 0.7429 0.0328
O: 0.7899 0.2571 0.5328

---

[2]
Entry from the Alexandria database: crystalline Pb2WCl at its relaxed geometry (GGA-PBEsol).

Calculated values
ΔE_f (raw) in eV per atom: 0.907
Space-group type: Pmmm
E_tot in eV/cell: -20.19
D(E_F) in states/eV per cell: 2.57
Crystal system: orthorhombic
E above lowest polymorph in meV per atom: 0

Cell lengths 3.1616, 4.8326, 6.3721 Å; angles 90.00, 90.00, 90.00 degrees
Fractional positions:
Pb: 0.0000 0.0000 0.0000
Pb: 0.5000 0.0000 0.5000
W: 0.0000 0.5000 0.5000
Cl: 0.5000 0.5000 0.0000

---

[3]
Entry from the Alexandria database: crystalline CaTe2H at its relaxed geometry (GGA-PBEsol).

Calculated values
Space-group type: I-42d
E_tot in eV/cell: -27.94
D(E_F) in states/eV per cell: 3.39
Crystal system: tetragonal

Cell lengths 6.1935, 6.1935, 6.1935 Å; angles 110.49, 110.49, 107.45 degrees
Fractional positions:
Ca: 0.0000 0.0000 0.0000
Ca: 0.7500 0.2500 0.5000
Te: 0.2253 0.1250 0.6003
Te: 0.3750 0.7747 0.8997
Te: 0.5247 0.6250 0.3997
Te: 0.8750 0.4753 0.1003
H: 0.2500 0.7500 0.5000
H: 0.5000 0.5000 0.0000

---

[4]
Entry from the Alexandria database: crystalline KTlP2 at its relaxed geometry (GGA-PBEsol).

Calculated values
Space-group type: I-4m2
E_tot in eV/cell: -13.62
D(E_F) in states/eV per cell: 1.89
Crystal system: tetragonal
E above lowest polymorph in meV per atom: 401
Energy of formation in eV/atom: 0.432

Cell lengths 5.4339, 5.4339, 5.4339 Å; angles 131.47, 131.47, 71.07 degrees
Fractional positions:
K: 0.0000 0.0000 0.0000
Tl: 0.2500 0.7500 0.5000
P: 0.5000 0.5000 0.0000
P: 0.7500 0.2500 0.5000

---

[5]
Entry from the Alexandria database: crystalline RbNa2Bi2 at its relaxed geometry (GGA-PBEsol).

Calculated values
Space-group type: I4/mmm
E_tot in eV/cell: -13.83
D(E_F) in states/eV per cell: 2.41
Crystal system: tetragonal
Energy of formation in eV/atom: -0.286

Cell lengths 7.6229, 7.6229, 7.6229 Å; angles 139.67, 139.67, 58.36 degrees
Fractional positions:
Rb: 0.0000 0.0000 0.0000
Na: 0.2500 0.7500 0.5000
Na: 0.7500 0.2500 0.5000
Bi: 0.3904 0.3904 0.0000
Bi: 0.6096 0.6096 0.0000

---

[6]
Entry from the Alexandria database: crystalline SiIr2Br at its relaxed geometry (GGA-PBEsol).

Calculated values
ΔE_f (raw) in eV per atom: 0.575
Space-group type: Pmmm
E_tot in eV/cell: -24.96
D(E_F) in states/eV per cell: 2.15
Crystal system: orthorhombic
E above lowest polymorph in meV per atom: 169

Cell lengths 2.8080, 4.2664, 5.1527 Å; angles 90.00, 90.00, 90.00 degrees
Fractional positions:
Si: 0.0000 0.0000 0.0000
Ir: 0.0000 0.5000 0.5000
Ir: 0.5000 0.5000 0.0000
Br: 0.5000 0.0000 0.5000

---

[7]
Entry from the Alexandria database: crystalline Mn2FeCoRu at its relaxed geometry (GGA-PBEsol).

Calculated values
Space-group type: P4/mmm
E_tot in eV/cell: -37.82
D(E_F) in states/eV per cell: 8.05
Crystal system: tetragonal
Energy of formation in eV/atom: 1.714

Cell lengths 4.3652, 4.3652, 4.3082 Å; angles 90.00, 90.00, 90.00 degrees
Fractional positions:
Mn: 0.0000 0.5000 0.0000
Mn: 0.5000 0.0000 0.0000
Fe: 0.0000 0.0000 0.5000
Co: 0.5000 0.5000 0.5000
Ru: 0.5000 0.5000 0.0000

---

[8]
Entry from the Alexandria database: crystalline AgBiTe2 at its relaxed geometry (GGA-PBEsol).

Calculated values
ΔE_f (raw) in eV per atom: 0.024
Space-group type: R-3m
E_tot in eV/cell: -14.55
Crystal system: trigonal

Cell lengths 8.9187, 8.9187, 8.9187 Å; angles 29.53, 29.53, 29.53 degrees
Fractional positions:
Ag: 0.0000 0.0000 0.0000
Bi: 0.5000 0.5000 0.5000
Te: 0.1013 0.1013 0.1013
Te: 0.8987 0.8987 0.8987

---

[9]
Entry from the Alexandria database: crystalline Ru4C at its relaxed geometry (GGA-PBEsol).

Calculated values
Space-group type: Im-3m
E_tot in eV/cell: -45.29
D(E_F) in states/eV per cell: 9.14
Crystal system: cubic
Energy of formation in eV/atom: 1.008

Cell lengths 4.3977, 4.3977, 4.3977 Å; angles 109.47, 109.47, 109.47 degrees
Fractional positions:
Ru: 0.0000 0.0000 0.5000
Ru: 0.0000 0.5000 0.0000
Ru: 0.5000 0.0000 0.0000
Ru: 0.5000 0.5000 0.5000
C: 0.0000 0.0000 0.0000

---

[10]
Entry from the Alexandria database: crystalline YNb3P at its relaxed geometry (GGA-PBEsol).

Calculated values
Space-group type: Pm-3m
E_tot in eV/cell: -33.97
D(E_F) in states/eV per cell: 7.09
Crystal system: cubic
Energy of formation in eV/atom: 2.222

Cell lengths 4.8323, 4.8323, 4.8323 Å; angles 90.00, 90.00, 90.00 degrees
Fractional positions:
Y: 0.0000 0.0000 0.0000
Nb: 0.0000 0.0000 0.5000
Nb: 0.0000 0.5000 0.0000
Nb: 0.5000 0.0000 0.0000
P: 0.5000 0.5000 0.5000

---

[11]
Entry from the Alexandria database: crystalline MgCu5 at its relaxed geometry (GGA-PBEsol).

Calculated values
Space-group type: F-43m
E_tot in eV/cell: -23.40
D(E_F) in states/eV per cell: 2.44
Crystal system: cubic
Energy of formation in eV/atom: -0.002

Cell lengths 4.7628, 4.7628, 4.7628 Å; angles 60.00, 60.00, 60.00 degrees
Fractional positions:
Mg: 0.0000 0.0000 0.0000
Cu: 0.1259 0.6247 0.6247
Cu: 0.2500 0.2500 0.2500
Cu: 0.6247 0.1259 0.6247
Cu: 0.6247 0.6247 0.1259
Cu: 0.6247 0.6247 0.6247

---

[12]
Entry from the Alexandria database: crystalline SiAg4Se at its relaxed geometry (GGA-PBEsol).

Calculated values
ΔE_f (raw) in eV per atom: 0.357
Space-group type: F-43m
E_tot in eV/cell: -20.70
D(E_F) in states/eV per cell: 0.82
Crystal system: cubic

Cell lengths 5.3867, 5.3867, 5.3867 Å; angles 60.00, 60.00, 60.00 degrees
Fractional positions:
Si: 0.0000 0.0000 0.0000
Ag: 0.1237 0.6254 0.6254
Ag: 0.6254 0.1237 0.6254
Ag: 0.6254 0.6254 0.1237
Ag: 0.6254 0.6254 0.6254
Se: 0.2500 0.2500 0.2500

---

[13]
Entry from the Alexandria database: crystalline TlSi2AgTe at its relaxed geometry (GGA-PBEsol).

Calculated values
ΔE_f (raw) in eV per atom: 1.230
Space-group type: P4/mmm
E_tot in eV/cell: -14.81
D(E_F) in states/eV per cell: 3.62
Crystal system: tetragonal

Cell lengths 5.1376, 5.1376, 6.0733 Å; angles 90.00, 90.00, 90.00 degrees
Fractional positions:
Tl: 0.0000 0.0000 0.0000
Si: 0.0000 0.5000 0.5000
Si: 0.5000 0.0000 0.5000
Ag: 0.5000 0.5000 0.0000
Te: 0.0000 0.0000 0.5000

---

[14]
Entry from the Alexandria database: crystalline Tb2S3 at its relaxed geometry (GGA-PBEsol).

Calculated values
ΔE_f (raw) in eV per atom: -2.146
Space-group type: Pnma
E_tot in eV/cell: -135.61
Crystal system: orthorhombic

Cell lengths 7.2074, 3.8617, 15.0160 Å; angles 90.00, 90.00, 90.00 degrees
Fractional positions:
Tb: 0.1414 0.2500 0.2044
Tb: 0.2340 0.7500 0.4570
Tb: 0.2660 0.2500 0.9570
Tb: 0.3586 0.7500 0.7044
Tb: 0.6414 0.2500 0.2956
Tb: 0.7340 0.7500 0.0430
Tb: 0.7660 0.2500 0.5430
Tb: 0.8586 0.7500 0.7956
S: 0.0069 0.2500 0.3909
S: 0.1242 0.7500 0.0674
S: 0.1478 0.2500 0.7815
S: 0.3522 0.7500 0.2815
S: 0.3758 0.2500 0.5674
S: 0.4931 0.7500 0.8909
S: 0.5069 0.2500 0.1091
S: 0.6242 0.7500 0.4326
S: 0.6478 0.2500 0.7185
S: 0.8522 0.7500 0.2185
S: 0.8758 0.2500 0.9326
S: 0.9931 0.7500 0.6091